# 1
Below is Pr6AgRh3 after structural relaxation, with properties calculated at the PBE level.

Output
Energy above the lowest structure with this stoichiometry (meV per atom): 0
ρ (Mg/m³): 7.12
ΔH_f (0 K) (meV per atom): -461

Lattice parameters (Å, degrees): 12.1434 4.2101 12.1769 90.00 108.89 90.00
Last column: nearest neighbours and their distance in Å.
Space group P2_1/m (No. 11)
Unique sites:
Pr (0.0406, 0.2500, 0.3702) x2  2 Rh 2.91
Pr (0.1017, 0.7500, 0.9604) x2  3 Rh 2.85-2.86
Pr (0.2382, 0.2500, 0.7875) x2  3 Rh 2.89-3.01
Pr (0.2644, 0.7500, 0.2745) x2  3 Rh 2.83-2.99
Pr (0.4023, 0.2500, 0.5655) x2  3 Rh 2.84-2.91
Pr (0.4508, 0.2500, 0.1109) x2  4 Rh 2.89-2.97
Ag (0.1988, 0.7500, 0.5612) x2  7 Pr 3.23-3.38
Rh (0.0046, 0.7500, 0.1972) x2  6 Pr 2.86-3.01
Rh (0.3337, 0.7500, 0.9535) x2  6 Pr 2.85-2.97
Rh (0.4281, 0.2500, 0.3420) x2  6 Pr 2.83-2.91

# 2
Below is Ho3CoC3 after structural relaxation, with properties calculated at the PBE level.

Output
ρ (Mg/m³): 9.06
ΔH_f (0 K) (meV per atom): -227

Lattice parameters (Å, degrees): 8.4361 10.1912 5.0297 90.00 90.00 90.00
Last column: nearest neighbours and their distance in Å.
Space group Cmcm (No. 63)
Unique sites:
Ho (0.0000, 0.1076, 0.2500) x4  5 C 2.34-2.52
Ho (0.2148, 0.3778, 0.2500) x8  5 C 2.41-2.61
Co (0.0000, 0.3020, 0.7500) x4  3 C 1.83-1.84
C (0.0000, 0.1223, 0.7500) x4  1 Co 1.83
C (0.2021, 0.3689, 0.7500) x8  1 Co 1.84

- What is the formula in the first record?
  Pr6AgRh3

- Which of these has the lowest ρ?
  Pr6AgRh3

- What is the formula in the second record?
  Ho3CoC3